An optimized crystal structure of LiP2SN. Source: Alexandria, functional PBE-GGA.

Cell lengths 3.872, 3.872, 4.936 Å; angles 90.00, 90.00, 90.00 degrees
Positions (direct):
P 0.000 0.500 0.000
Li 0.500 0.500 0.500
N 0.000 0.000 0.000
S 0.000 0.000 0.500
P 0.500 0.000 0.000

Computed properties:
formation energy (no corrections) = 353 kJ/mol of formula units
total magnetization = 0.00 μB per formula unit
space group = No. 123
polymorph energy (0 for the lowest one) = 0.00 kJ per mole of atoms

---

An optimized crystal structure of LiPS2N. Source: Alexandria, functional PBE-GGA.

Cell lengths 4.642, 4.642, 3.552 Å; angles 90.00, 90.00, 90.00 degrees
Positions (direct):
Li 0.500 0.500 0.500
P 0.000 0.000 0.500
S 0.500 0.000 0.000
S 0.000 0.500 0.000
N 0.000 0.000 0.000

Computed properties:
formation energy (no corrections) = 331 kJ/mol of formula units
total magnetization = 0.35 μB per formula unit
space group = No. 123
polymorph energy (0 for the lowest one) = 48.73 kJ per mole of atoms

---

An optimized crystal structure of LiP2SN. Source: Alexandria, functional PBE-GGA.

Cell lengths 4.384, 4.384, 4.279 Å; angles 90.00, 90.00, 90.00 degrees
Positions (direct):
N 0.500 0.500 0.500
S 0.000 0.000 0.500
P 0.500 0.000 0.000
P 0.000 0.500 0.000
Li 0.000 0.000 0.000

Computed properties:
formation energy (no corrections) = 846 kJ/mol of formula units
total magnetization = 2.39 μB per formula unit
space group = No. 123
polymorph energy (0 for the lowest one) = 98.65 kJ per mole of atoms

---

What did the first record say?
An optimized crystal structure of LiP2SN. Source: Alexandria, functional PBE-GGA.

Cell lengths 3.872, 3.872, 4.936 Å; angles 90.00, 90.00, 90.00 degrees
Positions (direct):
P 0.000 0.500 0.000
Li 0.500 0.500 0.500
N 0.000 0.000 0.000
S 0.000 0.000 0.500
P 0.500 0.000 0.000

Computed properties:
formation energy (no corrections) = 353 kJ/mol of formula units
total magnetization = 0.00 μB per formula unit
space group = No. 123
polymorph energy (0 for the lowest one) = 0.00 kJ per mole of atoms

---

Number 1 is which compound?
LiP2SN

---

The lowest total magnetization belongs to which entry?
number 1